The following is a DFT calculation (PBE) of Nd8SiTe4P3 after structural relaxation.

DOS at the Fermi energy   0.335 states/eV per atom
Crystal system   monoclinic
Uncorrected formation energy   -1469 meV/atom

Lattice parameters (Å, degrees): 8.5811 8.8366 8.5817 119.06 120.00 90.00
Element x y z (fractional)
P 0.0000 0.5000 0.5000
P 0.5000 0.5000 0.5000
P 0.5000 0.5000 0.0000
Nd 0.7378 0.7139 0.4756
Nd 0.7602 0.2834 0.5205
Nd 0.2622 0.2861 0.5244
Nd 0.2398 0.7166 0.4795
Nd 0.2616 0.2826 0.0219
Nd 0.7384 0.7174 0.9781
Nd 0.7603 0.2826 0.0219
Nd 0.2397 0.7174 0.9781
Te 0.5000 0.0000 0.5000
Te 0.0000 0.0000 0.0000
Te 0.0000 0.0000 0.5000
Te 0.5000 0.0000 0.0000
Si 0.0000 0.5000 0.0000

=====

The following is a DFT calculation (PBE) of AcNdThMg after structural relaxation.

DOS at the Fermi energy   1.681 states/eV per atom
Crystal system   cubic
Formation energy from the elements   0.201 eV per atom

Lattice parameters (Å, degrees): 5.7652 5.7652 5.7652 60.00 60.00 60.00
Element x y z (fractional)
Mg 0.0000 0.0000 0.0000
Nd 0.7500 0.7500 0.7500
Th 0.2500 0.2500 0.2500
Ac 0.5000 0.5000 0.5000

=====

The following is a DFT calculation (PBE) of BeTeHPd2 after structural relaxation.

DOS at the Fermi energy   0.396 states/eV per atom
Crystal system   tetragonal
Total energy   -3.4594 eV per atom

Lattice parameters (Å, degrees): 4.3301 4.5683 4.3301 90.00 90.00 90.00
Last column: magnetic moment on the atom in μB.
Element x y z (fractional)
Be 0.0000 0.0000 0.0000  0.01
H 0.5000 0.5000 0.5000  0.28
Pd 0.5000 0.0000 0.0000  0.08
Pd 0.0000 0.0000 0.5000  0.06
Te 0.0000 0.5000 0.0000  0.05

=====

The following is a DFT calculation (PBE) of NaRe3O after structural relaxation.

DOS at the Fermi energy   1.221 states/eV per atom
Crystal system   cubic
Energy relative to the lowest polymorph listed for this composition   0.0 meV per atom
Uncorrected formation energy   937 meV/atom

Lattice parameters (Å, degrees): 4.1467 4.1467 4.1467 90.00 90.00 90.00
Element x y z (fractional)
O 0.0000 0.0000 0.0000
Na 0.5000 0.5000 0.5000
Re 0.0000 0.5000 0.0000
Re 0.5000 0.0000 0.0000
Re 0.0000 0.0000 0.5000

=====

The following is a DFT calculation (PBE) of In2Re after structural relaxation.

DOS at the Fermi energy   0.464 states/eV per atom
Crystal system   monoclinic
Formation energy from the elements   0.398 eV per atom

Lattice parameters (Å, degrees): 6.1447 6.1447 7.6696 63.43 63.43 28.83
Element x y z (fractional)
In 0.4442 0.4442 0.2320
In 0.1573 0.1573 0.3618
In 0.8427 0.8427 0.6382
In 0.5558 0.5558 0.7680
Re 0.1655 0.1655 0.9854
Re 0.8345 0.8345 0.0146

=====

The following is a DFT calculation (PBE) of AlIn2Os after structural relaxation.

DOS at the Fermi energy   0.731 states/eV per atom
Crystal system   orthorhombic
Formation energy from the elements   0.537 eV per atom

Lattice parameters (Å, degrees): 2.9751 2.9751 10.0233 90.00 90.00 117.24
Element x y z (fractional)
In 0.0000 0.0000 0.4792
In 0.0000 0.0000 0.0208
Os 0.5000 0.5000 0.2500
Al 0.5000 0.5000 0.7500

=====

The following is a DFT calculation (PBE) of Hf3SiMo8 after structural relaxation.

DOS at the Fermi energy   0.815 states/eV per atom
Crystal system   trigonal
Uncorrected formation energy   -5 meV/atom

Lattice parameters (Å, degrees): 5.3437 5.3437 8.5498 90.00 90.00 120.00
Element x y z (fractional)
Mo 0.0090 0.5045 0.7446
Mo 0.8377 0.1623 0.2538
Mo 0.3246 0.1623 0.2538
Mo 0.6667 0.3333 0.9962
Mo 0.4955 0.9910 0.7446
Mo 0.4955 0.5045 0.7446
Mo 0.8377 0.6754 0.2538
Mo 0.6667 0.3333 0.4978
Hf 0.3333 0.6667 0.4422
Hf 0.0000 0.0000 0.9372
Hf 0.3333 0.6667 0.0611
Si 0.0000 0.0000 0.5701

=====

The following is a DFT calculation (PBE) of MgC3 after structural relaxation.

DOS at the Fermi energy   1.268 states/eV per atom
Crystal system   cubic
Energy relative to the lowest polymorph listed for this composition   3370.6 meV per atom
Formation energy from the elements   4.035 eV per atom

Lattice parameters (Å, degrees): 4.1808 4.1808 4.1808 90.00 90.00 90.00
Element x y z (fractional)
C 0.0000 0.5000 0.0000
C 0.5000 0.0000 0.0000
C 0.0000 0.0000 0.5000
Mg 0.0000 0.0000 0.0000